Record 1
Density functional theory data (PBE) for crystalline Na3P4O12 at its relaxed geometry.

Values from the calculation:
**Energy relative to the elements, uncorrected**: -2.06 eV/atom

Cell lengths 8.752, 10.130, 11.748 Å; angles 90.00, 90.10, 90.00 degrees
Positions (direct):
P 0.023 0.719 0.085
P 0.919 0.225 0.535
P 0.249 0.726 0.886
P 0.977 0.281 0.915
P 0.477 0.219 0.415
P 0.737 0.247 0.744
P 0.751 0.274 0.114
P 0.419 0.275 0.035
P 0.251 0.226 0.614
P 0.581 0.725 0.965
P 0.763 0.747 0.756
P 0.081 0.775 0.465
P 0.749 0.774 0.386
P 0.237 0.253 0.244
P 0.263 0.753 0.256
P 0.523 0.781 0.585
O 0.749 0.626 0.378
O 0.979 0.862 0.081
O 0.249 0.874 0.878
O 0.396 0.883 0.570
O 0.587 0.873 0.971
O 0.021 0.138 0.919
O 0.206 0.642 0.786
O 0.317 0.856 0.174
O 0.479 0.638 0.581
O 0.814 0.169 0.637
O 0.384 0.355 0.929
O 0.186 0.831 0.363
O 0.817 0.644 0.674
O 0.794 0.358 0.214
O 0.616 0.645 0.071
O 0.107 0.682 0.204
O 0.607 0.818 0.704
O 0.083 0.171 0.576
O 0.116 0.855 0.571
O 0.896 0.617 0.070
O 0.917 0.829 0.424
O 0.683 0.144 0.826
O 0.294 0.142 0.714
O 0.417 0.671 0.924
O 0.867 0.853 0.798
O 0.706 0.858 0.286
O 0.583 0.329 0.076
O 0.686 0.669 0.863
O 0.413 0.127 0.029
O 0.183 0.356 0.326
O 0.913 0.373 0.529
O 0.653 0.820 0.496
O 0.133 0.147 0.202
O 0.393 0.182 0.296
O 0.087 0.627 0.471
O 0.893 0.318 0.796
O 0.153 0.680 0.996
O 0.347 0.180 0.504
O 0.847 0.320 0.004
O 0.751 0.126 0.122
O 0.633 0.353 0.702
O 0.251 0.374 0.622
O 0.104 0.383 0.930
O 0.604 0.117 0.430
O 0.521 0.362 0.419
O 0.367 0.647 0.298
O 0.884 0.145 0.429
O 0.314 0.331 0.137
Na 0.687 0.492 0.547
Na 0.544 0.971 0.161
Na 0.910 0.029 0.263
Na 0.090 0.971 0.737
Na 0.813 0.992 0.953
Na 0.956 0.471 0.339
Na 0.410 0.471 0.763
Na 0.590 0.529 0.237
Na 0.187 0.008 0.047
Na 0.456 0.029 0.839
Na 0.044 0.529 0.661
Na 0.313 0.508 0.453


Record 2
Density functional theory data (PBE) for crystalline Na2P2O5 at its relaxed geometry.

Values from the calculation:
**Energy relative to the elements, uncorrected**: -1.71 eV/atom

Cell lengths 3.349, 7.908, 5.651 Å; angles 69.98, 90.00, 102.23 degrees
Positions (direct):
O 0.000 0.000 0.000
O 0.615 0.231 0.099
O 0.385 0.769 0.901
O 0.834 0.668 0.292
O 0.166 0.332 0.708
Na 0.671 0.341 0.426
Na 0.329 0.659 0.574
P 0.894 0.787 0.010
P 0.106 0.213 0.990


Record 3
Density functional theory data (PBE) for crystalline NaP2O at its relaxed geometry.

Values from the calculation:
**Energy relative to the elements, uncorrected**: -0.13 eV/atom

Cell lengths 4.711, 4.711, 7.493 Å; angles 71.68, 71.68, 90.00 degrees
Positions (direct):
Na 0.750 0.250 0.500
Na 0.000 0.000 0.000
P 0.375 0.125 0.250
P 0.375 0.625 0.750
P 0.875 0.625 0.750
P 0.375 0.625 0.250
O 0.250 0.750 0.500
O 0.500 0.500 0.000


Record 4
Density functional theory data (PBE) for crystalline Na3PO3 at its relaxed geometry.

Values from the calculation:
**Energy relative to the elements, uncorrected**: -1.49 eV/atom

Cell lengths 4.951, 7.192, 7.192 Å; angles 119.95, 90.00, 90.00 degrees
Positions (direct):
O 0.750 0.206 0.795
O 0.250 0.412 0.206
O 0.750 0.206 0.412
O 0.250 0.794 0.205
O 0.250 0.794 0.588
O 0.750 0.588 0.794
Na 0.750 0.362 0.181
Na 0.250 0.638 0.819
Na 0.750 0.819 0.638
Na 0.250 0.181 0.819
Na 0.750 0.819 0.181
Na 0.250 0.181 0.362
P 0.750 0.333 0.667
P 0.250 0.667 0.333


Calculated spin magnetization, 4.54; 0.00; 0.00; 0.00 μB per cell (same order as the records).